*A*
YScCu2 | SCAN | single point on PBEsol structure

Lattice parameters (Å, degrees): 3.3124 3.3124 6.6382 90.00 90.00 90.00
Last column: nearest neighbours and their distance in Å.
Sites, in units of the cell vectors:
Y: 0.5000 0.5000 0.0000  8 Cu 2.99, 4 Y 3.31, 2 Sc 3.32
Sc: 0.5000 0.5000 0.5000  8 Cu 2.76
Cu: 0.0000 0.0000 0.2809  4 Sc 2.76, 1 Cu 2.91, 4 Y 2.99
Cu: 0.0000 0.0000 0.7191  4 Sc 2.76, 1 Cu 2.91, 4 Y 2.99

Properties
Magnetic moment in μB per formula unit: 0.00
Calculated volume in A^3/atom: 18.21
Space-group type: P4/mmm, No. 123

*B*
YScCu2 | SCAN | single point on PBEsol structure

Lattice parameters (Å, degrees): 3.4974 4.3353 5.2780 90.00 109.15 90.00
Last column: nearest neighbours and their distance in Å.
Sites, in units of the cell vectors:
Y: 0.2315 0.5000 0.8358  7 Cu 2.80-2.89
Sc: 0.5126 0.0000 0.4015  7 Cu 2.70-2.93
Cu: 0.8075 0.0000 0.9884  2 Cu 2.59, 2 Sc 2.70, 4 Y 2.89
Cu: 0.9484 0.5000 0.2743  2 Cu 2.59, 3 Y 2.80, 4 Sc 2.85-2.86

Properties
Magnetic moment in μB per formula unit: 0.00
Calculated volume in A^3/atom: 18.90
Space-group type: Pm, No. 6

*C*
YScCu2 | SCAN | single point on PBEsol structure

Lattice parameters (Å, degrees): 4.6938 4.6938 4.6938 60.00 60.00 60.00
Last column: nearest neighbours and their distance in Å.
Sites, in units of the cell vectors:
Y: 0.0000 0.0000 0.0000  8 Cu 2.87
Sc: 0.5000 0.5000 0.5000  8 Cu 2.87
Cu: 0.7500 0.7500 0.7500  4 Y 2.87, 4 Sc 2.87
Cu: 0.2500 0.2500 0.2500  4 Sc 2.87, 4 Y 2.87

Properties
Magnetic moment in μB per formula unit: 0.00
Calculated volume in A^3/atom: 18.28
Space-group type: Fm-3m, No. 225

In terms of stability, *A* leads; the second structure lies 19 meV per atom higher.

*A*
ZrSc2Cu | SCAN | single point on PBEsol structure

Lattice parameters (Å, degrees): 3.1646 3.1646 7.8079 90.00 90.00 90.00
Last column: nearest neighbours and their distance in Å.
Sites, in units of the cell vectors:
Sc: 0.0000 0.0000 0.7125  4 Cu 2.79
Sc: 0.0000 0.0000 0.2875  4 Cu 2.79
Cu: 0.5000 0.5000 0.5000  8 Sc 2.79
Zr: 0.5000 0.5000 0.0000  4 Zr 3.16, 8 Sc 3.17

Properties
Magnetic moment in μB per formula unit: 0.00
Calculated volume in A^3/atom: 19.55
Space-group type: P4/mmm, No. 123

*B*
ZrSc2Cu | SCAN | single point on PBEsol structure

Lattice parameters (Å, degrees): 3.2638 4.7503 5.8433 113.98 106.22 90.00
Last column: nearest neighbours and their distance in Å.
Sites, in units of the cell vectors:
Sc: 0.9621 0.4621 0.9243  2 Cu 2.68, 4 Zr 2.97
Sc: 0.7521 0.7521 0.5043  4 Cu 2.88, 2 Sc 3.19
Cu: 0.2525 0.2525 0.5050  6 Sc 2.68-2.88, 2 Zr 2.76
Zr: 0.5333 0.0333 0.0665  2 Cu 2.76, 4 Sc 2.97

Properties
Magnetic moment in μB per formula unit: 0.00
Calculated volume in A^3/atom: 19.70
Space-group type: Imm2, No. 44

In terms of stability, *A* leads; the second structure lies 48 meV per atom higher.

*A*
Zr2ScCu2 | SCAN | single point on PBEsol structure

Lattice parameters (Å, degrees): 3.2226 7.4779 7.4779 90.00 90.00 90.00
Last column: nearest neighbours and their distance in Å.
Sites, in units of the cell vectors:
Sc: 0.0000 0.0000 0.0000  4 Cu 2.97, 8 Zr 3.20, 2 Sc 3.22
Sc: 0.0000 0.5000 0.5000  4 Cu 2.97, 8 Zr 3.20, 2 Sc 3.22
Cu: 0.0000 0.3786 0.8786  1 Cu 2.57, 6 Zr 2.71-2.75
Cu: 0.0000 0.8786 0.6214  1 Cu 2.57, 6 Zr 2.71-2.75
Cu: 0.0000 0.6214 0.1214  1 Cu 2.57, 6 Zr 2.71-2.75
Cu: 0.0000 0.1214 0.3786  1 Cu 2.57, 6 Zr 2.71-2.75
Zr: 0.5000 0.1720 0.6720  6 Cu 2.71-2.75
Zr: 0.5000 0.6720 0.8280  6 Cu 2.71-2.75
Zr: 0.5000 0.8280 0.3280  6 Cu 2.71-2.75
Zr: 0.5000 0.3280 0.1720  6 Cu 2.71-2.75

Properties
Magnetic moment in μB per formula unit: 0.00
Calculated volume in A^3/atom: 18.02
Space-group type: P4/mbm, No. 127

*B*
Zr2ScCu2 | SCAN | single point on PBEsol structure

Lattice parameters (Å, degrees): 4.0845 4.0845 6.4271 108.53 108.53 90.00
Last column: nearest neighbours and their distance in Å.
Sites, in units of the cell vectors:
Sc: 0.0000 0.0000 0.0000  8 Cu 3.10
Cu: 0.4030 0.4030 0.8060  1 Cu 2.23
Cu: 0.5970 0.5970 0.1940  1 Cu 2.23
Zr: 0.2500 0.7500 0.5000  4 Cu 2.69, 4 Zr 2.89
Zr: 0.7500 0.2500 0.5000  4 Cu 2.69, 4 Zr 2.89

Properties
Magnetic moment in μB per formula unit: 0.00
Calculated volume in A^3/atom: 19.16
Space-group type: I4/mmm, No. 139

In terms of stability, *A* leads; the second structure lies 203 meV per atom higher.

*A*
CuTeSe | SCAN | single point on PBEsol structure

Lattice parameters (Å, degrees): 3.7823 3.7823 4.8638 90.00 90.00 120.00
Last column: nearest neighbours and their distance in Å.
Sites, in units of the cell vectors:
Te: 0.6667 0.3333 0.2859  3 Cu 2.64
Se: 0.3333 0.6667 0.7321  3 Cu 2.50
Cu: 0.0000 0.0000 0.9820  3 Se 2.50, 3 Te 2.64

Properties
Magnetic moment in μB per formula unit: 0.00
Calculated volume in A^3/atom: 20.09
Space-group type: P3m1, No. 156

*B*
CuTeSe | SCAN | single point on PBEsol structure

Lattice parameters (Å, degrees): 6.2699 6.2699 6.2699 90.00 90.00 90.00
Last column: nearest neighbours and their distance in Å.
Sites, in units of the cell vectors:
Cu: 0.5139 0.4861 0.9861  3 Se 2.54, 3 Te 2.68
Cu: 0.4861 0.9861 0.5139  3 Se 2.54, 3 Te 2.68
Cu: 0.9861 0.5139 0.4861  3 Se 2.54, 3 Te 2.68
Cu: 0.0139 0.0139 0.0139  3 Se 2.54, 3 Te 2.68
Te: 0.8751 0.1249 0.6249  1 Se 2.61, 3 Cu 2.68
Te: 0.1249 0.6249 0.8751  1 Se 2.61, 3 Cu 2.68
Te: 0.6249 0.8751 0.1249  1 Se 2.61, 3 Cu 2.68
Te: 0.3751 0.3751 0.3751  1 Se 2.61, 3 Cu 2.68
Se: 0.1151 0.8849 0.3849  3 Cu 2.54, 1 Te 2.61
Se: 0.8849 0.3849 0.1151  3 Cu 2.54, 1 Te 2.61
Se: 0.3849 0.1151 0.8849  3 Cu 2.54, 1 Te 2.61
Se: 0.6151 0.6151 0.6151  3 Cu 2.54, 1 Te 2.61

Properties
Magnetic moment in μB per formula unit: 0.00
Calculated volume in A^3/atom: 20.54
Space-group type: P2_13, No. 198

In terms of stability, *B* leads; the second structure lies 11 meV per atom higher.